## La2Sc2As (PBE-GGA)

Data for an optimized crystal structure of La2Sc2As.

The polymorph energy (0 for the lowest one) comes out at 0.000 eV per atom. Its energy is -57.95 eV for the cell shown. Its symmetry is No. 127.

Unit cell a=7.2985 b=7.2985 c=5.2200 alpha=90.00 beta=90.00 gamma=90.00
Fractional coordinates of all 10 atoms:
La (0.1515, 0.3485, 0.0000)
La (0.3485, 0.8485, 0.0000)
La (0.6515, 0.1515, 0.0000)
La (0.8485, 0.6515, 0.0000)
Sc (0.1544, 0.6544, 0.5000)
Sc (0.3456, 0.1544, 0.5000)
Sc (0.6544, 0.8456, 0.5000)
Sc (0.8456, 0.3456, 0.5000)
As (0.0000, 0.0000, 0.5000)
As (0.5000, 0.5000, 0.5000)

***

## Pr6Er5Tm (PBE-GGA)

Data for an optimized crystal structure of Pr6Er5Tm.

The polymorph energy (0 for the lowest one) comes out at 0.004 eV per atom. Its energy is -55.74 eV for the cell shown. Its symmetry is No. 71.

Unit cell a=9.5466 b=9.5466 c=9.5466 alpha=148.67 beta=116.67 gamma=72.36
Fractional coordinates of all 12 atoms:
Pr (0.0833, 0.3334, 0.7499)
Pr (0.2498, 0.0000, 0.2498)
Pr (0.4166, 0.6666, 0.7499)
Pr (0.5834, 0.3334, 0.2501)
Pr (0.7502, 0.0000, 0.7502)
Pr (0.9167, 0.6666, 0.2501)
Er (0.1665, 0.1665, 0.0000)
Er (0.3334, 0.8334, 0.5000)
Er (0.5000, 0.5000, 0.0000)
Er (0.6666, 0.1666, 0.5000)
Er (0.8335, 0.8335, 0.0000)
Tm (0.0000, 0.5000, 0.5000)

***

## Nd3ErCd (PBE-GGA)

Data for an optimized crystal structure of Nd3ErCd.

The polymorph energy (0 for the lowest one) comes out at 0.102 eV per atom. Its energy is -39.55 eV for the cell shown. Its symmetry is No. 11.

Unit cell a=3.8275 b=10.6347 c=8.2086 alpha=90.00 beta=90.06 gamma=90.00
Fractional coordinates of all 10 atoms:
Nd (0.2495, 0.0015, 0.2546)
Nd (0.2495, 0.4985, 0.2546)
Nd (0.2500, 0.7500, 0.9517)
Nd (0.7500, 0.2500, 0.0483)
Nd (0.7505, 0.5015, 0.7454)
Nd (0.7505, 0.9985, 0.7454)
Er (0.2508, 0.7500, 0.5601)
Er (0.7492, 0.2500, 0.4399)
Cd (0.2500, 0.2500, 0.7319)
Cd (0.7500, 0.7500, 0.2681)

***

## SrGd2Au (PBE-GGA)

Data for an optimized crystal structure of SrGd2Au.

Its energy is -34.37 eV for the cell shown. Its symmetry is No. 123.

Unit cell a=3.7216 b=3.7216 c=9.5718 alpha=90.00 beta=90.00 gamma=90.00
Fractional coordinates of all 4 atoms:
Sr (0.0000, 0.0000, 0.0000)
Gd (0.5000, 0.5000, 0.3251)
Gd (0.5000, 0.5000, 0.6749)
Au (0.0000, 0.0000, 0.5000)

***

## BaH4Cl3 (PBE-GGA)

Data for an optimized crystal structure of BaH4Cl3.

Its energy is -27.54 eV for the cell shown. Its symmetry is No. 12.

Unit cell a=7.6939 b=7.6939 c=5.2678 alpha=97.02 beta=97.02 gamma=33.33
Fractional coordinates of all 8 atoms:
Ba (0.0000, 0.0000, 0.0000)
H (0.1661, 0.1661, 0.4672)
H (0.1924, 0.1924, 0.3535)
H (0.8076, 0.8076, 0.6465)
H (0.8339, 0.8339, 0.5328)
Cl (0.3594, 0.3594, 0.0734)
Cl (0.5000, 0.5000, 0.5000)
Cl (0.6406, 0.6406, 0.9266)

***

## K3Zr2NiS6 (PBE-GGA)

Data for an optimized crystal structure of K3Zr2NiS6.

Its energy is -65.55 eV for the cell shown. As for the formation energy (no corrections): -1.218 eV/atom. Its symmetry is No. 12.

Unit cell a=6.5730 b=6.5730 c=7.6089 alpha=98.27 beta=98.27 gamma=119.97
Fractional coordinates of all 12 atoms:
K (0.0000, 0.0000, 0.0000)
K (0.3344, 0.6656, 0.0000)
K (0.6656, 0.3344, 0.0000)
Zr (0.1668, 0.8332, 0.5000)
Zr (0.8332, 0.1668, 0.5000)
Ni (0.5000, 0.5000, 0.5000)
S (0.1052, 0.4361, 0.3084)
S (0.2326, 0.2326, 0.6914)
S (0.4361, 0.1052, 0.3084)
S (0.5639, 0.8948, 0.6916)
S (0.7674, 0.7674, 0.3086)
S (0.8948, 0.5639, 0.6916)

***

## Sr2GaCuBr (PBE-GGA)

Data for an optimized crystal structure of Sr2GaCuBr.

Its energy is -14.76 eV for the cell shown. As for the formation energy (no corrections): -0.520 eV/atom. Its symmetry is No. 123.

Unit cell a=6.1091 b=6.1091 c=4.5091 alpha=90.00 beta=90.00 gamma=90.00
Fractional coordinates of all 5 atoms:
Sr (0.0000, 0.5000, 0.0000)
Sr (0.5000, 0.0000, 0.0000)
Ga (0.0000, 0.0000, 0.0000)
Cu (0.0000, 0.0000, 0.5000)
Br (0.5000, 0.5000, 0.5000)

***

## AcRu2O6 (PBE-GGA)

Data for an optimized crystal structure of AcRu2O6.

Its energy is -67.20 eV for the cell shown. As for the formation energy (no corrections): -1.643 eV/atom. Its symmetry is No. 162.

Unit cell a=5.3473 b=5.3473 c=5.1760 alpha=90.00 beta=90.00 gamma=120.00
Fractional coordinates of all 9 atoms:
Ac (0.0000, 0.0000, 0.0000)
Ru (0.3333, 0.6667, 0.5000)
Ru (0.6667, 0.3333, 0.5000)
O (0.0000, 0.3814, 0.7061)
O (0.0000, 0.6186, 0.2939)
O (0.3814, 0.0000, 0.7061)
O (0.3814, 0.3814, 0.2939)
O (0.6186, 0.0000, 0.2939)
O (0.6186, 0.6186, 0.7061)